No. 1
# Ca2Al2GaPd5 | the Alexandria database | PBE-GGA | optimized geometry
# - DOS(E_F): 0.334 states/eV per atom
# - Energy relative to the elements: -0.74 eV per atom
data_Ca2Al2GaPd5
_chemical_formula_sum 'Ca4 Al4 Ga2 Pd10'
_cell_length_a 10.343
_cell_length_b 10.343
_cell_length_c 3.339
_cell_angle_alpha 90.00
_cell_angle_beta 90.00
_cell_angle_gamma 90.00
_symmetry_space_group_name_H-M 'P 4/m b m'
_symmetry_Int_Tables_number 127
_symmetry_space_group_name_Hall '-P 4 2ab'
loop_
_atom_site_label
_atom_site_type_symbol
_atom_site_fract_x
_atom_site_fract_y
_atom_site_fract_z
_atom_site_occupancy
Ca1 Ca 0.174 0.326 0.000 1
Al1 Al 0.127 0.627 0.000 1
Ga1 Ga 0.000 0.000 0.000 1
Pd1 Pd 0.000 0.500 0.500 1
Pd2 Pd 0.060 0.802 0.500 1



No. 2
# NaY2Tl9 | the Alexandria database | PBE-GGA | optimized geometry
# - DOS(E_F): 0.553 states/eV per atom
# - Energy relative to the elements: -0.17 eV per atom
data_NaY2Tl9
_chemical_formula_sum 'Na1 Y2 Tl9'
_cell_length_a 4.792
_cell_length_b 4.792
_cell_length_c 14.457
_cell_angle_alpha 90.00
_cell_angle_beta 90.00
_cell_angle_gamma 90.00
_symmetry_space_group_name_H-M 'P 4/m m m'
_symmetry_Int_Tables_number 123
_symmetry_space_group_name_Hall '-P 4 2'
loop_
_atom_site_label
_atom_site_type_symbol
_atom_site_fract_x
_atom_site_fract_y
_atom_site_fract_z
_atom_site_occupancy
Na1 Na 0.000 0.000 0.000 1
Y1 Y 0.000 0.000 0.340 1
Tl1 Tl 0.000 0.500 0.169 1
Tl2 Tl 0.000 0.500 0.500 1
Tl3 Tl 0.500 0.500 0.000 1
Tl4 Tl 0.500 0.500 0.333 1



No. 3
# CuSbPd4 | the Alexandria database | PBE-GGA | optimized geometry
# - DOS(E_F): 0.513 states/eV per atom
# - ΔE to the lowest computed polymorph: 0.0 meV per atom
data_CuSbPd4
_chemical_formula_sum 'Cu2 Sb2 Pd8'
_cell_length_a 4.351
_cell_length_b 10.097
_cell_length_c 4.322
_cell_angle_alpha 90.00
_cell_angle_beta 90.56
_cell_angle_gamma 90.00
_symmetry_space_group_name_H-M 'C 1 2/m 1'
_symmetry_Int_Tables_number 12
loop_
_symmetry_equiv_pos_as_xyz
'x,y,z'
'-x,-y,-z'
'-x,y,-z'
'x,-y,z'
'x+1/2,y+1/2,z'
'-x+1/2,-y+1/2,-z'
'-x+1/2,y+1/2,-z'
'x+1/2,-y+1/2,z'
loop_
_atom_site_label
_atom_site_type_symbol
_atom_site_fract_x
_atom_site_fract_y
_atom_site_fract_z
_atom_site_occupancy
Cu1 Cu 0.000 0.000 0.000 1
Sb1 Sb 0.000 0.500 0.500 1
Pd1 Pd 0.000 0.156 0.500 1
Pd2 Pd 0.000 0.343 0.000 1



No. 4
# Ca2UH6 | the Alexandria database | PBE-GGA | optimized geometry
# - Final energy: -3.75 eV/atom
# - DOS(E_F): 1.209 states/eV per atom
data_Ca2UH6
_chemical_formula_sum 'Ca8 U4 H24'
_cell_length_a 7.942
_cell_length_b 7.942
_cell_length_c 7.942
_cell_angle_alpha 90.00
_cell_angle_beta 90.00
_cell_angle_gamma 90.00
_symmetry_space_group_name_H-M 'F m -3 m'
_symmetry_Int_Tables_number 225
_symmetry_space_group_name_Hall '-F 4 2 3'
loop_
_atom_site_label
_atom_site_type_symbol
_atom_site_fract_x
_atom_site_fract_y
_atom_site_fract_z
_atom_site_occupancy
Ca1 Ca 0.250 0.250 0.250 1
U1 U 0.000 0.000 0.000 1
H1 H 0.000 0.000 0.270 1



No. 5
# GeMoRh2 | the Alexandria database | PBE-GGA | optimized geometry
# - DOS(E_F): 0.881 states/eV per atom
# - Energy relative to the elements: 0.52 eV per atom
data_GeMoRh2
_chemical_formula_sum 'Ge4 Mo4 Rh8'
_cell_length_a 5.490
_cell_length_b 5.490
_cell_length_c 11.311
_cell_angle_alpha 90.00
_cell_angle_beta 90.00
_cell_angle_gamma 90.00
_symmetry_space_group_name_H-M 'I -4 2 d'
_symmetry_Int_Tables_number 122
_symmetry_space_group_name_Hall 'I -4 2bw'
loop_
_atom_site_label
_atom_site_type_symbol
_atom_site_fract_x
_atom_site_fract_y
_atom_site_fract_z
_atom_site_occupancy
Ge1 Ge 0.000 0.000 0.000 1
Mo1 Mo 0.000 0.000 0.500 1
Rh1 Rh 0.245 0.250 0.125 1



No. 6
# Cu3BO4 | the Alexandria database | PBE-GGA | optimized geometry
# - Final energy: -5.86 eV/atom
# - DOS(E_F): 0.616 states/eV per atom
data_Cu3BO4
_chemical_formula_sum 'Cu6 B2 O8'
_cell_length_a 6.048
_cell_length_b 5.148
_cell_length_c 5.159
_cell_angle_alpha 90.00
_cell_angle_beta 90.00
_cell_angle_gamma 90.00
_symmetry_space_group_name_H-M 'P m n 21'
_symmetry_Int_Tables_number 31
loop_
_symmetry_equiv_pos_as_xyz
'x,y,z'
'-x+1/2,-y,z+1/2'
'-x,y,z'
'x+1/2,-y,z+1/2'
loop_
_atom_site_label
_atom_site_type_symbol
_atom_site_fract_x
_atom_site_fract_y
_atom_site_fract_z
_atom_site_occupancy
Cu1 Cu 0.000 0.216 0.000 1
Cu2 Cu 0.229 0.642 0.985 1
B1 B 0.000 0.866 0.550 1
O1 O 0.000 0.135 0.457 1
O2 O 0.000 0.865 0.850 1
O3 O 0.194 0.719 0.458 1